A relaxed structure of Nd5TlSe4. Source: the Alexandria database, functional PBE.

abc: 6.066 7.449 7.449
angles: 80.46 65.97 65.97
Fractional positions:
Nd1 0.102 0.592 0.207
Tl1 0.001 0.000 0.000
Nd2 0.501 0.000 0.000
Se1 0.399 0.402 0.803
Se2 0.202 0.197 0.402
Se3 0.603 0.598 0.197
Se4 0.800 0.803 0.598
Nd3 0.308 0.793 0.592
Nd4 0.694 0.207 0.408
Nd5 0.900 0.408 0.793

Summary:
- Formation energy from raw total energies: -15.50 eV per formula unit
- V: 280.8 Å³/cell
- D(E_F): 4.113 states/eV/cell